A plane-wave DFT calculation with PBE was carried out for a relaxed PmGdInAu crystal.

a b c (Å): 5.3092 5.3092 5.3092
angles (deg): 60.00 60.00 60.00
Fractional coordinates of all 4 atoms:
Pm: 0.2500 0.2500 0.2500
Gd: 0.7500 0.7500 0.7500
In: 0.5000 0.5000 0.5000
Au: 0.0000 0.0000 0.0000

Values from the calculation:
Its total energy is -6.81 eV per atom. The crystal system is cubic. For the volume, the calculation gives 105.8 Å³/cell. The symmetry is F-43m (216). Its density of states at the Fermi level is 4.87 states/eV/cell. The value obtained for the energy of formation is -0.597 eV per atom.